Record 1
Compound: MgCrRuRh
Source: Alexandria via LeMat-Bulk
Functional: GGA-PBE
Structure: relaxed

Unit cell a=4.290 b=4.290 c=4.290 alpha=60.00 beta=60.00 gamma=60.00
Atoms (fractional coordinates):
Ru  0.750  0.750  0.750
Rh  0.250  0.250  0.250
Mg  0.000  0.000  0.000
Cr  0.500  0.500  0.500

Calculated formation energy (eV/f.u.): -0.303
Final energy (eV per atom): -7.037
Total magnetic moment (μB/f.u.): 1.3
Crystal system: cubic

=====

Record 2
Compound: AsIrPt2
Source: Alexandria via LeMat-Bulk
Functional: GGA-PBE
Structure: relaxed

Unit cell a=5.288 b=5.288 c=7.356 alpha=68.93 beta=68.93 gamma=90.00
Atoms (fractional coordinates):
Pt  0.875  0.866  0.750
Pt  0.616  0.125  0.250
Pt  0.134  0.625  0.250
Pt  0.375  0.384  0.750
As  0.250  0.750  0.500
As  0.500  0.500  0.000
Ir  0.000  0.000  0.000
Ir  0.750  0.250  0.500

Calculated formation energy (eV/f.u.): 2.012
Final energy (eV per atom): -5.895
Total magnetic moment (μB/f.u.): 0.0
Crystal system: tetragonal

=====

no.,density (g cm⁻³)
1,8.3
2,12.3